Entry 1:
A crystal of RbTi2TlZn relaxed with PBEsol. Source: Alexandria via LeMat-Bulk, functional SCAN.

abc: 4.7405 4.7405 5.1499
angles: 90.00 90.00 90.00
Element x y z (fractional)
Tl  0.5000  0.5000  0.5000
Zn  0.0000  0.0000  0.5000
Rb  0.0000  0.0000  0.0000
Ti  0.0000  0.5000  0.0000
Ti  0.5000  0.0000  0.0000

Properties
- Space group: P4/mmm, No. 123
- Calculated formation energy: 1965 meV/atom

Entry 2:
A crystal of BaSbCl2 relaxed with PBEsol. Source: Alexandria via LeMat-Bulk, functional SCAN.

abc: 3.8447 5.4556 5.9038
angles: 90.00 90.00 90.00
Element x y z (fractional)
Sb  0.0000  0.0000  0.5404
Ba  0.5000  0.5000  0.7484
Cl  0.0000  0.0000  0.9662
Cl  0.5000  0.5000  0.2450

Properties
- Space group: Pmm2, No. 25
- Formation energy (no corrections): -122 kJ per mole of atoms